First-principles (PBE) data for a relaxed ZrTlCd2 crystal, as listed in the Alexandria database.

Calculated values
As for the total moment: 0.00 μB/f.u. The formation energy comes out at 47 meV/atom. The density is 8999 kg/m³. The energy above the most stable polymorph in this dataset is 0.142 eV/atom.

a b c (Å): 3.2374 3.2374 31.7421
angles (deg): 90.00 90.00 120.00
Space group R-3m (No. 166, hexagonal axes)
Inequivalent atoms, fractional coordinates:
Zr 0.0000 0.0000 0.0000 (multiplicity 3)
Tl 0.0000 0.0000 0.5000 (multiplicity 3)
Cd 0.0000 0.0000 0.2526 (multiplicity 6)